one) Fe2BMo2: optimized geometry, PBE-GGA.

Unit cell a=4.0695 b=4.0695 c=8.7201 alpha=90.00 beta=90.00 gamma=90.00
Closest atoms and distances in Å follow each position.
Space group I4/mmm (No. 139)
Unique sites:
Fe 0.0000 0.0000 0.1176 x4  1 Fe 2.05
B 0.0000 0.0000 0.5000 x2  8 Mo 2.98, 10 Fe 3.05-3.33
Mo 0.0000 0.5000 0.2500 x4  4 Fe 2.34

Calculated values
Calculated volume ... 14.441 Å³/atom
M_tot ... 0.000 μB/cell



two) Fe2BMo2: optimized geometry, PBE-GGA.

Unit cell a=5.2914 b=5.2914 c=4.2654 alpha=90.00 beta=90.00 gamma=90.00
Closest atoms and distances in Å follow each position.
Space group P4/mbm (No. 127)
Unique sites:
Fe 0.1521 0.3479 0.0000 x4  2 B 2.01
B 0.0000 0.0000 0.0000 x2  4 Fe 2.01
Mo 0.1760 0.6760 0.5000 x4  6 Fe 2.49-2.75, 5 Mo 2.63-2.76

Calculated values
Calculated volume ... 11.943 Å³/atom
M_tot ... 1.797 μB/cell



Here are the energies relative to the best structure, in eV/atom: one) 0.999; two) 0.000.



one) Fe3BMo: optimized geometry, PBE-GGA.

Unit cell a=3.7846 b=3.7846 c=3.7846 alpha=90.00 beta=90.00 gamma=90.00
Closest atoms and distances in Å follow each position.
Space group Pm-3m (No. 221)
Unique sites:
Fe 0.0000 0.0000 0.5000 x3  2 B 1.89
B 0.0000 0.0000 0.0000 x1  6 Fe 1.89
Mo 0.5000 0.5000 0.5000 x1  12 Fe 2.68

Calculated values
Calculated volume ... 10.841 Å³/atom
M_tot ... 1.003 μB/cell



two) Fe3BMo: optimized geometry, PBE-GGA.

Unit cell a=4.4385 b=4.4385 c=4.4385 alpha=90.00 beta=90.00 gamma=90.00
Closest atoms and distances in Å follow each position.
Space group Pm-3m (No. 221)
Unique sites:
Fe 0.0000 0.0000 0.5000 x3  2 Mo 2.22
B 0.5000 0.5000 0.5000 x1  12 Fe 3.14
Mo 0.0000 0.0000 0.0000 x1  6 Fe 2.22

Calculated values
Calculated volume ... 17.488 Å³/atom
M_tot ... 5.192 μB/cell



Here are the energies relative to the best structure, in eV/atom: one) 0.000; two) 2.218.



one) Fe2BN: optimized geometry, PBE-GGA.

Unit cell a=5.0020 b=5.0020 c=5.0020 alpha=90.00 beta=90.00 gamma=90.00
Closest atoms and distances in Å follow each position.
Space group Fm-3m (No. 225)
Unique sites:
Fe 0.2500 0.2500 0.2500 x8  4 N 2.17, 4 B 2.17
B 0.0000 0.0000 0.0000 x4  8 Fe 2.17
N 0.0000 0.0000 0.5000 x4  8 Fe 2.17

Calculated values
Calculated volume ... 7.822 Å³/atom
M_tot ... 0.000 μB/cell



two) Fe2BN: optimized geometry, PBE-GGA.

Unit cell a=4.3320 b=4.3320 c=8.4986 alpha=90.00 beta=90.00 gamma=90.00
Closest atoms and distances in Å follow each position.
Space group I-42d (No. 122)
Unique sites:
Fe 0.2244 0.2500 0.1250 x8  2 N 1.80, 2 B 1.93
B 0.0000 0.0000 0.5000 x4  4 Fe 1.93
N 0.0000 0.0000 0.0000 x4  4 Fe 1.80

Calculated values
Calculated volume ... 9.968 Å³/atom
M_tot ... 0.000 μB/cell



Here are the energies relative to the best structure, in eV/atom: one) 0.420; two) 0.000.



one) FeBSe2N: optimized geometry, PBE-GGA.

Unit cell a=4.8434 b=4.8434 c=3.3574 alpha=90.00 beta=90.00 gamma=90.00
Closest atoms and distances in Å follow each position.
Space group P4/mmm (No. 123)
Unique sites:
Fe 0.0000 0.0000 0.0000 x1  2 N 1.68
B 0.5000 0.5000 0.5000 x1  8 Se 2.95
Se 0.0000 0.5000 0.0000 x2  2 Fe 2.42
N 0.0000 0.0000 0.5000 x1  2 Fe 1.68

Calculated values
Calculated volume ... 15.752 Å³/atom
M_tot ... 0.714 μB/cell



two) FeBSe2N: optimized geometry, PBE-GGA.

Unit cell a=5.3255 b=5.3255 c=2.6938 alpha=90.00 beta=90.00 gamma=90.00
Closest atoms and distances in Å follow each position.
Space group P4/mmm (No. 123)
Unique sites:
Fe 0.0000 0.0000 0.0000 x1  2 Fe 2.69, 8 Se 2.98
B 0.5000 0.5000 0.5000 x1  2 N 1.35
Se 0.0000 0.5000 0.5000 x2  2 B 2.66, 2 Se 2.69
N 0.5000 0.5000 0.0000 x1  2 B 1.35

Calculated values
Calculated volume ... 15.280 Å³/atom
M_tot ... 0.029 μB/cell



Here are the energies relative to the best structure, in eV/atom: one) 0.431; two) 0.000.



one) FeBTeN2: optimized geometry, PBE-GGA.

Unit cell a=3.3301 b=3.3301 c=6.7798 alpha=90.00 beta=90.00 gamma=90.00
Closest atoms and distances in Å follow each position.
Space group P4/mmm (No. 123)
Unique sites:
Fe 0.0000 0.0000 0.0000 x1  4 Te 2.35
B 0.5000 0.5000 0.5000 x1  4 N 1.67
Te 0.5000 0.5000 0.0000 x1  4 Fe 2.35
N 0.0000 0.5000 0.5000 x2  2 B 1.67

Calculated values
Calculated volume ... 15.037 Å³/atom
M_tot ... 2.045 μB/cell



two) FeBTeN2: optimized geometry, PBE-GGA.

Unit cell a=3.5272 b=3.5272 c=5.5381 alpha=90.00 beta=90.00 gamma=90.00
Closest atoms and distances in Å follow each position.
Space group P4/mmm (No. 123)
Unique sites:
Fe 0.0000 0.0000 0.0000 x1  4 N 1.76
B 0.5000 0.5000 0.5000 x1  4 Te 2.49
Te 0.0000 0.0000 0.5000 x1  4 B 2.49, 2 Fe 2.77
N 0.0000 0.5000 0.0000 x2  2 Fe 1.76

Calculated values
Calculated volume ... 13.780 Å³/atom
M_tot ... 0.000 μB/cell



Here are the energies relative to the best structure, in eV/atom: one) 0.243; two) 0.000.



one) FeBTe2N: optimized geometry, PBE-GGA.

Unit cell a=5.1913 b=5.1913 c=3.3651 alpha=90.00 beta=90.00 gamma=90.00
Closest atoms and distances in Å follow each position.
Space group P4/mmm (No. 123)
Unique sites:
Fe 0.0000 0.0000 0.0000 x1  2 N 1.68
B 0.5000 0.5000 0.5000 x1  8 Te 3.09, 2 B 3.37
Te 0.0000 0.5000 0.0000 x2  2 Fe 2.60
N 0.0000 0.0000 0.5000 x1  2 Fe 1.68

Calculated values
Calculated volume ... 18.138 Å³/atom
M_tot ... 0.000 μB/cell



two) FeBTe2N: optimized geometry, PBE-GGA.

Unit cell a=6.0573 b=6.0573 c=2.7151 alpha=90.00 beta=90.00 gamma=90.00
Closest atoms and distances in Å follow each position.
Space group P4/mmm (No. 123)
Unique sites:
Fe 0.0000 0.0000 0.0000 x1  2 Fe 2.72
B 0.5000 0.5000 0.5000 x1  2 N 1.36
Te 0.0000 0.5000 0.5000 x2  2 Te 2.72, 2 B 3.03
N 0.5000 0.5000 0.0000 x1  2 B 1.36

Calculated values
Calculated volume ... 19.924 Å³/atom
M_tot ... 3.389 μB/cell



Here are the energies relative to the best structure, in eV/atom: one) 0.432; two) 0.000.